No. 1
# PBE V2PPb, optimized geometry
# ΔH_f (0 K) = 0.3659 eV/atom
# distance to the lowest polymorph of the same formula = 145 meV/atom
data_V2PPb
_symmetry_space_group_name_H-M 'F m -3 m'
_symmetry_Int_Tables_number 225
_symmetry_space_group_name_Hall '-F 4 2 3'
_cell_length_a 6.344
_cell_length_b 6.344
_cell_length_c 6.344
_cell_angle_alpha 90.00
_cell_angle_beta 90.00
_cell_angle_gamma 90.00
loop_
_atom_site_label
_atom_site_type_symbol
_atom_site_fract_x
_atom_site_fract_y
_atom_site_fract_z
V1 V 0.250 0.250 0.250
P1 P 0.000 0.000 0.000
Pb1 Pb 0.000 0.000 0.500


No. 2
# PBE KBPt3, optimized geometry
# ΔH_f (0 K) = -0.2214 eV/atom
data_KBPt3
_symmetry_space_group_name_H-M 'P 1'
_symmetry_Int_Tables_number 1
_symmetry_space_group_name_Hall 'P 1'
_cell_length_a 5.446
_cell_length_b 6.430
_cell_length_c 6.981
_cell_angle_alpha 102.37
_cell_angle_beta 112.04
_cell_angle_gamma 108.38
loop_
_atom_site_label
_atom_site_type_symbol
_atom_site_fract_x
_atom_site_fract_y
_atom_site_fract_z
K1 K 0.000 0.000 0.000
K2 K 0.258 0.919 0.615
B1 B 0.517 0.582 0.274
B2 B 0.706 0.442 0.766
Pt1 Pt 0.066 0.530 0.086
Pt2 Pt 0.384 0.452 0.490
Pt3 Pt 0.488 0.512 0.936
Pt4 Pt 0.604 0.921 0.286
Pt5 Pt 0.744 0.380 0.276
Pt6 Pt 0.930 0.319 0.643


No. 3
# PBE Sc2TlH, optimized geometry
# distance to the lowest polymorph of the same formula = 272 meV/atom
data_Sc2TlH
_symmetry_space_group_name_H-M 'R -3 m'
_symmetry_Int_Tables_number 166
_symmetry_space_group_name_Hall '-R 3 2"'
_cell_length_a 3.3383
_cell_length_b 3.3383
_cell_length_c 25.2143
_cell_angle_alpha 90.00
_cell_angle_beta 90.00
_cell_angle_gamma 120.00
loop_
_atom_site_label
_atom_site_type_symbol
_atom_site_fract_x
_atom_site_fract_y
_atom_site_fract_z
Sc1 Sc 0.0000 0.0000 0.1196
Tl1 Tl 0.0000 0.0000 0.0000
H1 H 0.0000 0.0000 0.5000


No. 4
# PBE Mn2H2S, optimized geometry
# uncorrected energy = -5.85 eV/atom
data_Mn2H2S
_symmetry_space_group_name_H-M 'I 4/m m m'
_symmetry_Int_Tables_number 139
_symmetry_space_group_name_Hall '-I 4 2'
_cell_length_a 2.974
_cell_length_b 2.974
_cell_length_c 10.132
_cell_angle_alpha 90.00
_cell_angle_beta 90.00
_cell_angle_gamma 90.00
loop_
_atom_site_label
_atom_site_type_symbol
_atom_site_fract_x
_atom_site_fract_y
_atom_site_fract_z
Mn1 Mn 0.000 0.000 0.140
H1 H 0.000 0.500 0.250
S1 S 0.000 0.000 0.500


No. 5
# PBE Pr2SmDy4Ho2, optimized geometry
# ΔH_f (0 K) = 0.0837 eV/atom
data_Pr2SmDy4Ho2
_symmetry_space_group_name_H-M 'P -1'
_symmetry_Int_Tables_number 2
_symmetry_space_group_name_Hall '-P 1'
_cell_length_a 6.027
_cell_length_b 6.612
_cell_length_c 8.567
_cell_angle_alpha 80.31
_cell_angle_beta 71.02
_cell_angle_gamma 66.37
loop_
_atom_site_label
_atom_site_type_symbol
_atom_site_fract_x
_atom_site_fract_y
_atom_site_fract_z
Pr1 Pr 0.224 0.328 0.341
Sm1 Sm 0.500 0.000 0.000
Dy1 Dy 0.117 0.126 0.760
Dy2 Dy 0.242 0.577 0.888
Ho1 Ho 0.327 0.767 0.444


No. 6
# PBE KTlPd2W, optimized geometry
# ΔH_f (0 K) = 2.2550 eV/atom
data_KTlPd2W
_symmetry_space_group_name_H-M 'P 4/m m m'
_symmetry_Int_Tables_number 123
_symmetry_space_group_name_Hall '-P 4 2'
_cell_length_a 4.832
_cell_length_b 4.832
_cell_length_c 5.102
_cell_angle_alpha 90.00
_cell_angle_beta 90.00
_cell_angle_gamma 90.00
loop_
_atom_site_label
_atom_site_type_symbol
_atom_site_fract_x
_atom_site_fract_y
_atom_site_fract_z
K1 K 0.000 0.000 0.000
Tl1 Tl 0.500 0.500 0.500
Pd1 Pd 0.000 0.500 0.000
W1 W 0.000 0.000 0.500


No. 7
# PBE HoSc4In2, optimized geometry
# ΔH_f (0 K) = 0.0548 eV/atom
# distance to the lowest polymorph of the same formula = 0 meV/atom
data_HoSc4In2
_symmetry_space_group_name_H-M 'F m m m'
_symmetry_Int_Tables_number 69
_symmetry_space_group_name_Hall '-F 2 2'
_cell_length_a 6.248
_cell_length_b 9.902
_cell_length_c 11.357
_cell_angle_alpha 90.00
_cell_angle_beta 90.00
_cell_angle_gamma 90.00
loop_
_atom_site_label
_atom_site_type_symbol
_atom_site_fract_x
_atom_site_fract_y
_atom_site_fract_z
Ho1 Ho 0.000 0.000 0.000
Sc1 Sc 0.250 0.250 0.000
Sc2 Sc 0.250 0.250 0.250
In1 In 0.000 0.000 0.363


No. 8
# PBE Ta2TlPb, optimized geometry
# ΔH_f (0 K) = 0.6532 eV/atom
# distance to the lowest polymorph of the same formula = 295 meV/atom
data_Ta2TlPb
_symmetry_space_group_name_H-M 'R -3 m'
_symmetry_Int_Tables_number 166
_symmetry_space_group_name_Hall '-R 3 2"'
_cell_length_a 3.1580
_cell_length_b 3.1580
_cell_length_c 29.4327
_cell_angle_alpha 90.00
_cell_angle_beta 90.00
_cell_angle_gamma 120.00
loop_
_atom_site_label
_atom_site_type_symbol
_atom_site_fract_x
_atom_site_fract_y
_atom_site_fract_z
Ta1 Ta 0.0000 0.0000 0.2501
Tl1 Tl 0.0000 0.0000 0.0000
Pb1 Pb 0.0000 0.0000 0.5000


No. 9
# PBE Ce2PrCu, optimized geometry
# ΔH_f (0 K) = 0.0497 eV/atom
# distance to the lowest polymorph of the same formula = 0 meV/atom
data_Ce2PrCu
_symmetry_space_group_name_H-M 'P 4/m m m'
_symmetry_Int_Tables_number 123
_symmetry_space_group_name_Hall '-P 4 2'
_cell_length_a 3.632
_cell_length_b 3.632
_cell_length_c 8.235
_cell_angle_alpha 90.00
_cell_angle_beta 90.00
_cell_angle_gamma 90.00
loop_
_atom_site_label
_atom_site_type_symbol
_atom_site_fract_x
_atom_site_fract_y
_atom_site_fract_z
Ce1 Ce 0.000 0.000 0.187
Pr1 Pr 0.500 0.500 0.500
Cu1 Cu 0.500 0.500 0.000


No. 10
# PBE KSiAu2, optimized geometry
# formation energy (no corrections) = -0.1387 eV/atom
data_KSiAu2
_symmetry_space_group_name_H-M 'P 1 m 1'
_symmetry_Int_Tables_number 6
_symmetry_space_group_name_Hall 'P -2y'
_cell_length_a 4.424
_cell_length_b 4.353
_cell_length_c 5.773
_cell_angle_alpha 90.00
_cell_angle_beta 90.17
_cell_angle_gamma 90.00
loop_
_atom_site_label
_atom_site_type_symbol
_atom_site_fract_x
_atom_site_fract_y
_atom_site_fract_z
K1 K 0.000 0.000 0.000
Si1 Si 0.499 0.500 0.671
Au1 Au 0.500 0.000 0.480
Au2 Au 0.999 0.500 0.490


No. 11
# PBE Zr3BeI, optimized geometry
# distance to the lowest polymorph of the same formula = 0 meV/atom
# formation energy (no corrections) = 0.3704 eV/atom
data_Zr3BeI
_symmetry_space_group_name_H-M 'P m -3 m'
_symmetry_Int_Tables_number 221
_symmetry_space_group_name_Hall '-P 4 2 3'
_cell_length_a 4.820
_cell_length_b 4.820
_cell_length_c 4.820
_cell_angle_alpha 90.00
_cell_angle_beta 90.00
_cell_angle_gamma 90.00
loop_
_atom_site_label
_atom_site_type_symbol
_atom_site_fract_x
_atom_site_fract_y
_atom_site_fract_z
Zr1 Zr 0.000 0.000 0.500
Be1 Be 0.000 0.000 0.000
I1 I 0.500 0.500 0.500


No. 12
# PBE BaRhSeBr2, optimized geometry
# distance to the lowest polymorph of the same formula = 0 meV/atom
# formation energy (no corrections) = -0.9979 eV/atom
data_BaRhSeBr2
_symmetry_space_group_name_H-M 'P 4/m m m'
_symmetry_Int_Tables_number 123
_symmetry_space_group_name_Hall '-P 4 2'
_cell_length_a 5.169
_cell_length_b 5.169
_cell_length_c 5.082
_cell_angle_alpha 90.00
_cell_angle_beta 90.00
_cell_angle_gamma 90.00
loop_
_atom_site_label
_atom_site_type_symbol
_atom_site_fract_x
_atom_site_fract_y
_atom_site_fract_z
Ba1 Ba 0.000 0.000 0.000
Rh1 Rh 0.500 0.500 0.500
Se1 Se 0.500 0.500 0.000
Br1 Br 0.000 0.500 0.500


No. 13
# PBE AlOsAu2, optimized geometry
# ΔH_f (0 K) = 0.0217 eV/atom
data_AlOsAu2
_symmetry_space_group_name_H-M 'R 3 m'
_symmetry_Int_Tables_number 160
_symmetry_space_group_name_Hall 'R 3 -2"'
_cell_length_a 2.8748
_cell_length_b 2.8748
_cell_length_c 27.1485
_cell_angle_alpha 90.00
_cell_angle_beta 90.00
_cell_angle_gamma 120.00
loop_
_atom_site_label
_atom_site_type_symbol
_atom_site_fract_x
_atom_site_fract_y
_atom_site_fract_z
Al1 Al 0.0000 0.0000 0.0000
Os1 Os 0.0000 0.0000 0.2619
Au1 Au 0.0000 0.0000 0.5058
Au2 Au 0.0000 0.0000 0.7449


No. 14
# PBE SiTeN, optimized geometry
# formation energy (no corrections) = -0.3281 eV/atom
data_SiTeN
_symmetry_space_group_name_H-M 'P -1'
_symmetry_Int_Tables_number 2
_symmetry_space_group_name_Hall '-P 1'
_cell_length_a 3.092
_cell_length_b 7.294
_cell_length_c 7.400
_cell_angle_alpha 113.40
_cell_angle_beta 101.88
_cell_angle_gamma 101.99
loop_
_atom_site_label
_atom_site_type_symbol
_atom_site_fract_x
_atom_site_fract_y
_atom_site_fract_z
Si1 Si 0.195 0.018 0.371
Te1 Te 0.256 0.282 0.232
N1 N 0.377 0.106 0.653


No. 15
# PBE Mg2GaPbO6, optimized geometry
# formation energy (no corrections) = -1.6646 eV/atom
data_Mg2GaPbO6
_symmetry_space_group_name_H-M 'R 3'
_symmetry_Int_Tables_number 146
_symmetry_space_group_name_Hall 'R 3'
_cell_length_a 5.3106
_cell_length_b 5.3106
_cell_length_c 14.1907
_cell_angle_alpha 90.00
_cell_angle_beta 90.00
_cell_angle_gamma 120.00
loop_
_atom_site_label
_atom_site_type_symbol
_atom_site_fract_x
_atom_site_fract_y
_atom_site_fract_z
Mg1 Mg 0.0000 0.0000 0.0000
Mg2 Mg 0.0000 0.0000 0.4956
Ga1 Ga 0.0000 0.0000 0.7069
Pb1 Pb 0.0000 0.0000 0.2095
O1 O 0.0149 0.7196 0.6039
O2 O 0.0238 0.3474 0.7649


No. 16
# PBE CdHgBiAu, optimized geometry
# ΔH_f (0 K) = 0.1161 eV/atom
data_CdHgBiAu
_symmetry_space_group_name_H-M 'F -4 3 m'
_symmetry_Int_Tables_number 216
_symmetry_space_group_name_Hall 'F -4 2 3'
_cell_length_a 7.280
_cell_length_b 7.280
_cell_length_c 7.280
_cell_angle_alpha 90.00
_cell_angle_beta 90.00
_cell_angle_gamma 90.00
loop_
_atom_site_label
_atom_site_type_symbol
_atom_site_fract_x
_atom_site_fract_y
_atom_site_fract_z
Cd1 Cd 0.000 0.000 0.000
Hg1 Hg 0.250 0.250 0.750
Bi1 Bi 0.000 0.000 0.500
Au1 Au 0.250 0.250 0.250


No. 17
# PBE Nb2PdRh9, optimized geometry
# ΔH_f (0 K) = -0.3229 eV/atom
data_Nb2PdRh9
_symmetry_space_group_name_H-M 'P 4/m m m'
_symmetry_Int_Tables_number 123
_symmetry_space_group_name_Hall '-P 4 2'
_cell_length_a 3.899
_cell_length_b 3.899
_cell_length_c 11.659
_cell_angle_alpha 90.00
_cell_angle_beta 90.00
_cell_angle_gamma 90.00
loop_
_atom_site_label
_atom_site_type_symbol
_atom_site_fract_x
_atom_site_fract_y
_atom_site_fract_z
Nb1 Nb 0.000 0.000 0.170
Pd1 Pd 0.000 0.000 0.500
Rh1 Rh 0.000 0.500 0.000
Rh2 Rh 0.000 0.500 0.332
Rh3 Rh 0.500 0.500 0.166
Rh4 Rh 0.500 0.500 0.500


No. 18
# PBE HoTm2Pb, optimized geometry
# ΔH_f (0 K) = -0.2225 eV/atom
# distance to the lowest polymorph of the same formula = 57 meV/atom
data_HoTm2Pb
_symmetry_space_group_name_H-M 'C m c m'
_symmetry_Int_Tables_number 63
_symmetry_space_group_name_Hall '-C 2c 2'
_cell_length_a 4.220
_cell_length_b 12.431
_cell_length_c 9.262
_cell_angle_alpha 90.00
_cell_angle_beta 90.00
_cell_angle_gamma 90.00
loop_
_atom_site_label
_atom_site_type_symbol
_atom_site_fract_x
_atom_site_fract_y
_atom_site_fract_z
Ho1 Ho 0.000 0.055 0.250
Tm1 Tm 0.000 0.369 0.055
Pb1 Pb 0.000 0.248 0.750


No. 19
# PBE LaPm6Mg2, optimized geometry
# ΔH_f (0 K) = -0.0281 eV/atom
data_LaPm6Mg2
_symmetry_space_group_name_H-M 'C 1 2/m 1'
_symmetry_Int_Tables_number 12
_symmetry_space_group_name_Hall '-C 2y'
_cell_length_a 13.005
_cell_length_b 3.866
_cell_length_c 12.274
_cell_angle_alpha 90.00
_cell_angle_beta 108.05
_cell_angle_gamma 90.00
loop_
_atom_site_label
_atom_site_type_symbol
_atom_site_fract_x
_atom_site_fract_y
_atom_site_fract_z
La1 La 0.000 0.000 0.000
Pm1 Pm 0.017 0.000 0.341
Pm2 Pm 0.181 0.500 0.876
Pm3 Pm 0.186 0.500 0.583
Mg1 Mg 0.153 0.500 0.214


No. 20
# PBE UTl3Pt2Se6, optimized geometry
# formation energy (no corrections) = -0.5055 eV/atom
data_UTl3Pt2Se6
_symmetry_space_group_name_H-M 'C 1 2/m 1'
_symmetry_Int_Tables_number 12
_symmetry_space_group_name_Hall '-C 2y'
_cell_length_a 6.470
_cell_length_b 11.171
_cell_length_c 8.788
_cell_angle_alpha 90.00
_cell_angle_beta 103.99
_cell_angle_gamma 90.00
loop_
_atom_site_label
_atom_site_type_symbol
_atom_site_fract_x
_atom_site_fract_y
_atom_site_fract_z
U1 U 0.000 0.000 0.000
Tl1 Tl 0.000 0.165 0.500
Tl2 Tl 0.000 0.500 0.500
Pt1 Pt 0.000 0.333 0.000
Se1 Se 0.199 0.500 0.183
Se2 Se 0.242 0.181 0.183


For reference, calculated volume by record: 15.96 19.91 20.28 8.96 32.83 23.83 25.10 21.18 27.16 27.79 22.40 27.15 16.19 23.65 11.55 24.11 14.77 30.37 32.59 25.68 Å³/atom.